(1)
TiCo3H PBE relaxed; ΔE to the lowest computed polymorph = 46.2 meV/atom; energy = -6.742 eV per atom; spin magnetization = 0.05 μB per formula unit
1.0
2.578 1.488 4.185
-2.578 1.488 4.185
0.000 -2.976 4.185
Ti Co H
2 6 2
direct
0.000 0.000 0.000 Ti
0.499 0.499 0.499 Ti
0.005 0.005 0.480 Co
0.005 0.480 0.005 Co
0.480 0.005 0.005 Co
0.503 0.503 0.994 Co
0.503 0.994 0.503 Co
0.994 0.503 0.503 Co
0.258 0.258 0.258 H
0.845 0.845 0.845 H

=====

(2)
Zr PBE relaxed; ΔE to the lowest computed polymorph = 1540.0 meV/atom; energy = -7.008 eV per atom; formation energy from the elements = 1.540 eV per atom; spin magnetization = 0.00 μB per formula unit
1.0
5.147 0.000 0.000
-2.573 4.457 0.000
0.000 0.000 2.760
Zr
2
direct
0.333 0.667 0.000 Zr
0.667 0.333 0.000 Zr